No. 1
# LaScZn2Ru, optimized geometry, DFT PBE-GGA
data_LaScZn2Ru
_space_group_name_H-M_alt 'P 4/m m m'
_space_group_IT_number 123
_space_group_name_Hall '-P 4 2'
_cell_length_a 4.960
_cell_length_b 4.960
_cell_length_c 4.995
_cell_angle_alpha 90.00
_cell_angle_beta 90.00
_cell_angle_gamma 90.00
loop_
_atom_site_label
_atom_site_type_symbol
_atom_site_fract_x
_atom_site_fract_y
_atom_site_fract_z
La1 La 0.000 0.000 0.000
Sc1 Sc 0.500 0.500 0.000
Zn1 Zn 0.000 0.500 0.500
Ru1 Ru 0.000 0.000 0.500
# Formation energy from the elements in eV per atom: 0.165
# V in Å³/f.u.: 122.89
# Fermi-level density of states in states/eV per cell: 4.82


No. 2
# LaRu2Se, optimized geometry, DFT PBE-GGA
data_LaRu2Se
_space_group_name_H-M_alt 'I 4/m m m'
_space_group_IT_number 139
_space_group_name_Hall '-I 4 2'
_cell_length_a 4.392
_cell_length_b 4.392
_cell_length_c 7.586
_cell_angle_alpha 90.00
_cell_angle_beta 90.00
_cell_angle_gamma 90.00
loop_
_atom_site_label
_atom_site_type_symbol
_atom_site_fract_x
_atom_site_fract_y
_atom_site_fract_z
La1 La 0.000 0.000 0.000
Ru1 Ru 0.000 0.500 0.250
Se1 Se 0.000 0.000 0.500
# Raw formation energy in eV/f.u.: 0.3
# V in Å³/f.u.: 73.17
# Fermi-level density of states in states/eV per cell: 7.41


No. 3
# LaRu2Se, optimized geometry, DFT PBE-GGA
data_LaRu2Se
_space_group_name_H-M_alt 'C 1 2/m 1'
_space_group_IT_number 12
_cell_length_a 7.407
_cell_length_b 4.306
_cell_length_c 5.279
_cell_angle_alpha 90.00
_cell_angle_beta 104.54
_cell_angle_gamma 90.00
loop_
_space_group_symop_operation_xyz
'x,y,z'
'-x,-y,-z'
'-x,y,-z'
'x,-y,z'
'x+1/2,y+1/2,z'
'-x+1/2,-y+1/2,-z'
'-x+1/2,y+1/2,-z'
'x+1/2,-y+1/2,z'
loop_
_atom_site_label
_atom_site_type_symbol
_atom_site_fract_x
_atom_site_fract_y
_atom_site_fract_z
La1 La 0.000 0.000 0.000
Ru1 Ru 0.192 0.000 0.613
Se1 Se 0.000 0.500 0.500
# Raw formation energy in eV/f.u.: -0.9
# V in Å³/f.u.: 81.49
# Fermi-level density of states in states/eV per cell: 7.48


No. 4
# LaRu2Se, optimized geometry, DFT PBE-GGA
data_LaRu2Se
_space_group_name_H-M_alt 'I -4 2 d'
_space_group_IT_number 122
_space_group_name_Hall 'I -4 2bw'
_cell_length_a 4.599
_cell_length_b 4.599
_cell_length_c 16.942
_cell_angle_alpha 90.00
_cell_angle_beta 90.00
_cell_angle_gamma 90.00
loop_
_atom_site_label
_atom_site_type_symbol
_atom_site_fract_x
_atom_site_fract_y
_atom_site_fract_z
La1 La 0.000 0.000 0.000
Ru1 Ru 0.110 0.250 0.625
Se1 Se 0.000 0.000 0.500
# Raw formation energy in eV/f.u.: -0.7
# V in Å³/f.u.: 89.60
# Fermi-level density of states in states/eV per cell: 15.92


No. 5
# LaRu2Se, optimized geometry, DFT PBE-GGA
data_LaRu2Se
_space_group_name_H-M_alt 'P 1 2/m 1'
_space_group_IT_number 10
_cell_length_a 4.424
_cell_length_b 4.205
_cell_length_c 4.745
_cell_angle_alpha 90.00
_cell_angle_beta 96.51
_cell_angle_gamma 90.00
loop_
_space_group_symop_operation_xyz
'x,y,z'
'-x,-y,-z'
'-x,y,-z'
'x,-y,z'
loop_
_atom_site_label
_atom_site_type_symbol
_atom_site_fract_x
_atom_site_fract_y
_atom_site_fract_z
La1 La 0.000 0.000 0.000
Ru1 Ru 0.396 0.500 0.756
Se1 Se 0.500 0.000 0.500
# Raw formation energy in eV/f.u.: -0.6
# V in Å³/f.u.: 87.71
# Fermi-level density of states in states/eV per cell: 3.94


No. 6
# LaRu2Se, optimized geometry, DFT PBE-GGA
data_LaRu2Se
_space_group_name_H-M_alt 'I m m m'
_space_group_IT_number 71
_space_group_name_Hall '-I 2 2'
_cell_length_a 3.147
_cell_length_b 5.009
_cell_length_c 9.467
_cell_angle_alpha 90.00
_cell_angle_beta 90.00
_cell_angle_gamma 90.00
loop_
_atom_site_label
_atom_site_type_symbol
_atom_site_fract_x
_atom_site_fract_y
_atom_site_fract_z
La1 La 0.000 0.000 0.000
Ru1 Ru 0.000 0.500 0.224
Se1 Se 0.000 0.000 0.500
# Raw formation energy in eV/f.u.: 0.0
# V in Å³/f.u.: 74.62
# Fermi-level density of states in states/eV per cell: 9.82


No. 7
# LaRu2Se, optimized geometry, DFT PBE-GGA
data_LaRu2Se
_space_group_name_H-M_alt 'C 1 m 1'
_space_group_IT_number 8
_cell_length_a 7.494
_cell_length_b 4.318
_cell_length_c 5.736
_cell_angle_alpha 90.00
_cell_angle_beta 115.74
_cell_angle_gamma 90.00
loop_
_space_group_symop_operation_xyz
'x,y,z'
'x,-y,z'
'x+1/2,y+1/2,z'
'x+1/2,-y+1/2,z'
loop_
_atom_site_label
_atom_site_type_symbol
_atom_site_fract_x
_atom_site_fract_y
_atom_site_fract_z
La1 La 0.000 0.000 0.000
Ru1 Ru 0.296 0.500 0.388
Ru2 Ru 0.471 0.000 0.411
Se1 Se 0.205 0.000 0.617
# Raw formation energy in eV/f.u.: -1.6
# V in Å³/f.u.: 83.59
# Fermi-level density of states in states/eV per cell: 7.81


No. 8
# LaRuSe3, optimized geometry, DFT PBE-GGA
data_LaRuSe3
_space_group_name_H-M_alt 'P m -3 m'
_space_group_IT_number 221
_space_group_name_Hall '-P 4 2 3'
_cell_length_a 4.934
_cell_length_b 4.934
_cell_length_c 4.934
_cell_angle_alpha 90.00
_cell_angle_beta 90.00
_cell_angle_gamma 90.00
loop_
_atom_site_label
_atom_site_type_symbol
_atom_site_fract_x
_atom_site_fract_y
_atom_site_fract_z
La1 La 0.000 0.000 0.000
Ru1 Ru 0.500 0.500 0.500
Se1 Se 0.000 0.500 0.500
# Raw formation energy in eV/f.u.: -3.4
# V in Å³/f.u.: 120.12
# Fermi-level density of states in states/eV per cell: 5.77
# Energy above the most stable polymorph in this dataset in meV/atom: 0